CeReTc2 | PBE | optimized geometry

Summary:
Formation enthalpy at 0 K = 200 meV per atom

Geometry as CIF:
```
data_CeReTc2
_chemical_formula_sum 'Ce1 Re1 Tc2'
_cell_length_a 4.680
_cell_length_b 4.680
_cell_length_c 3.143
_cell_angle_alpha 90.00
_cell_angle_beta 90.00
_cell_angle_gamma 90.00
_space_group_name_H-M_alt 'P 4/m m m'
_space_group_IT_number 123
_space_group_name_Hall '-P 4 2'
loop_
_atom_site_label
_atom_site_fract_x
_atom_site_fract_y
_atom_site_fract_z
Ce1 0.000 0.000 0.000
Re1 0.500 0.500 0.000
Tc1 0.000 0.500 0.500
```

CeReTc | PBE | optimized geometry

Summary:
Offset from the most stable computed form = 124.7 meV/atom
Formation enthalpy at 0 K = 27 meV per atom

Geometry as CIF:
```
data_CeReTc
_chemical_formula_sum 'Ce2 Re2 Tc2'
_cell_length_a 3.043
_cell_length_b 3.043
_cell_length_c 12.181
_cell_angle_alpha 90.00
_cell_angle_beta 90.00
_cell_angle_gamma 90.00
_space_group_name_H-M_alt 'I 4 m m'
_space_group_IT_number 107
_space_group_name_Hall 'I 4 -2'
loop_
_atom_site_label
_atom_site_fract_x
_atom_site_fract_y
_atom_site_fract_z
Ce1 0.000 0.000 0.000
Re1 0.000 0.000 0.307
Tc1 0.000 0.000 0.693
```

Ce2Re3Tc | PBE | optimized geometry

Summary:
Formation enthalpy at 0 K = -80 meV per atom

Geometry as CIF:
```
data_Ce2Re3Tc
_chemical_formula_sum 'Ce4 Re6 Tc2'
_cell_length_a 9.026
_cell_length_b 5.329
_cell_length_c 5.451
_cell_angle_alpha 90.00
_cell_angle_beta 119.07
_cell_angle_gamma 90.00
_space_group_name_H-M_alt 'C 1 2/m 1'
_space_group_IT_number 12
loop_
_space_group_symop_operation_xyz
'x,y,z'
'-x,-y,-z'
'-x,y,-z'
'x,-y,z'
'x+1/2,y+1/2,z'
'-x+1/2,-y+1/2,-z'
'-x+1/2,y+1/2,-z'
'x+1/2,-y+1/2,z'
loop_
_atom_site_label
_atom_site_fract_x
_atom_site_fract_y
_atom_site_fract_z
Ce1 0.126 0.000 0.384
Re1 0.000 0.500 0.000
Re2 0.250 0.250 0.000
Tc1 0.000 0.500 0.500
```

Ce4ReTc | PBE | optimized geometry

Summary:
Formation enthalpy at 0 K = -50 meV per atom

Geometry as CIF:
```
data_Ce4ReTc
_chemical_formula_sum 'Ce4 Re1 Tc1'
_cell_length_a 3.446
_cell_length_b 3.446
_cell_length_c 10.670
_cell_angle_alpha 90.00
_cell_angle_beta 90.00
_cell_angle_gamma 90.00
_space_group_name_H-M_alt 'P 4/m m m'
_space_group_IT_number 123
_space_group_name_Hall '-P 4 2'
loop_
_atom_site_label
_atom_site_fract_x
_atom_site_fract_y
_atom_site_fract_z
Ce1 0.000 0.000 0.161
Ce2 0.500 0.500 0.338
Re1 0.000 0.000 0.500
Tc1 0.500 0.500 0.000
```

CeReTc | PBE | optimized geometry

Summary:
Offset from the most stable computed form = 0.0 meV/atom
Formation enthalpy at 0 K = -97 meV per atom

Geometry as CIF:
```
data_CeReTc
_chemical_formula_sum 'Ce4 Re4 Tc4'
_cell_length_a 5.165
_cell_length_b 5.988
_cell_length_c 7.361
_cell_angle_alpha 90.00
_cell_angle_beta 90.00
_cell_angle_gamma 90.00
_space_group_name_H-M_alt 'I m m a'
_space_group_IT_number 74
_space_group_name_Hall '-I 2b 2'
loop_
_atom_site_label
_atom_site_fract_x
_atom_site_fract_y
_atom_site_fract_z
Ce1 0.000 0.250 0.130
Re1 0.250 0.250 0.750
Tc1 0.000 0.000 0.500
```

CeReTc2 | PBE | optimized geometry

Summary:
Formation enthalpy at 0 K = 266 meV per atom

Geometry as CIF:
```
data_CeReTc2
_chemical_formula_sum 'Ce3 Re3 Tc6'
_cell_length_a 4.4357
_cell_length_b 4.4357
_cell_length_c 14.5391
_cell_angle_alpha 90.00
_cell_angle_beta 90.00
_cell_angle_gamma 120.00
_space_group_name_H-M_alt 'R -3 m'
_space_group_IT_number 166
_space_group_name_Hall '-R 3 2"'
loop_
_atom_site_label
_atom_site_fract_x
_atom_site_fract_y
_atom_site_fract_z
Ce1 0.0000 0.0000 0.0000
Re1 0.0000 0.0000 0.5000
Tc1 0.0000 0.0000 0.1956
```

CeRe4Tc7 | PBE | optimized geometry

Summary:
Formation enthalpy at 0 K = 373 meV per atom

Geometry as CIF:
```
data_CeRe4Tc7
_chemical_formula_sum 'Ce2 Re8 Tc14'
_cell_length_a 11.354
_cell_length_b 4.612
_cell_length_c 9.394
_cell_angle_alpha 90.00
_cell_angle_beta 124.00
_cell_angle_gamma 90.00
_space_group_name_H-M_alt 'C 1 2/m 1'
_space_group_IT_number 12
loop_
_space_group_symop_operation_xyz
'x,y,z'
'-x,-y,-z'
'-x,y,-z'
'x,-y,z'
'x+1/2,y+1/2,z'
'-x+1/2,-y+1/2,-z'
'-x+1/2,y+1/2,-z'
'x+1/2,-y+1/2,z'
loop_
_atom_site_label
_atom_site_fract_x
_atom_site_fract_y
_atom_site_fract_z
Ce1 0.000 0.000 0.000
Re1 0.087 0.500 0.794
Re2 0.195 0.500 0.342
Tc1 0.000 0.500 0.000
Tc2 0.038 0.000 0.402
Tc3 0.168 0.500 0.602
Tc4 0.218 0.000 0.868
```

CeReTc2 | PBE | optimized geometry

Summary:
Formation enthalpy at 0 K = 109 meV per atom

Geometry as CIF:
```
data_CeReTc2
_chemical_formula_sum 'Ce1 Re1 Tc2'
_cell_length_a 3.068
_cell_length_b 3.068
_cell_length_c 7.486
_cell_angle_alpha 90.00
_cell_angle_beta 90.00
_cell_angle_gamma 90.00
_space_group_name_H-M_alt 'P 4/m m m'
_space_group_IT_number 123
_space_group_name_Hall '-P 4 2'
loop_
_atom_site_label
_atom_site_fract_x
_atom_site_fract_y
_atom_site_fract_z
Ce1 0.000 0.000 0.000
Re1 0.000 0.000 0.500
Tc1 0.500 0.500 0.296
```

CeUReTc | PBE | optimized geometry

Summary:
Formation enthalpy at 0 K = 179 meV per atom

Geometry as CIF:
```
data_CeUReTc
_chemical_formula_sum 'Ce4 U4 Re4 Tc4'
_cell_length_a 6.842
_cell_length_b 6.842
_cell_length_c 6.842
_cell_angle_alpha 90.00
_cell_angle_beta 90.00
_cell_angle_gamma 90.00
_space_group_name_H-M_alt 'F -4 3 m'
_space_group_IT_number 216
_space_group_name_Hall 'F -4 2 3'
loop_
_atom_site_label
_atom_site_fract_x
_atom_site_fract_y
_atom_site_fract_z
Ce1 0.000 0.000 0.000
U1 0.000 0.000 0.500
Re1 0.250 0.250 0.250
Tc1 0.250 0.250 0.750
```

CeThRe | PBE | optimized geometry

Summary:
Formation enthalpy at 0 K = 52 meV per atom

Geometry as CIF:
```
data_CeThRe
_chemical_formula_sum 'Ce2 Th2 Re2'
_cell_length_a 3.528
_cell_length_b 3.528
_cell_length_c 11.128
_cell_angle_alpha 90.00
_cell_angle_beta 90.00
_cell_angle_gamma 90.00
_space_group_name_H-M_alt 'I 4 m m'
_space_group_IT_number 107
_space_group_name_Hall 'I 4 -2'
loop_
_atom_site_label
_atom_site_fract_x
_atom_site_fract_y
_atom_site_fract_z
Ce1 0.000 0.000 0.000
Th1 0.000 0.000 0.686
Re1 0.000 0.000 0.343
```

CeThRe4 | PBE | optimized geometry

Summary:
Formation enthalpy at 0 K = -43 meV per atom

Geometry as CIF:
```
data_CeThRe4
_chemical_formula_sum 'Ce4 Th4 Re16'
_cell_length_a 7.776
_cell_length_b 7.776
_cell_length_c 7.776
_cell_angle_alpha 90.00
_cell_angle_beta 90.00
_cell_angle_gamma 90.00
_space_group_name_H-M_alt 'F -4 3 m'
_space_group_IT_number 216
_space_group_name_Hall 'F -4 2 3'
loop_
_atom_site_label
_atom_site_fract_x
_atom_site_fract_y
_atom_site_fract_z
Ce1 0.000 0.000 0.000
Th1 0.250 0.250 0.750
Re1 0.125 0.125 0.375
```

Ce2ThRe9 | PBE | optimized geometry

Summary:
Formation enthalpy at 0 K = 25 meV per atom

Geometry as CIF:
```
data_Ce2ThRe9
_chemical_formula_sum 'Ce6 Th3 Re27'
_cell_length_a 5.3412
_cell_length_b 5.3412
_cell_length_c 27.4594
_cell_angle_alpha 90.00
_cell_angle_beta 90.00
_cell_angle_gamma 120.00
_space_group_name_H-M_alt 'R -3 m'
_space_group_IT_number 166
_space_group_name_Hall '-R 3 2"'
loop_
_atom_site_label
_atom_site_fract_x
_atom_site_fract_y
_atom_site_fract_z
Ce1 0.0000 0.0000 0.1461
Th1 0.0000 0.0000 0.0000
Re1 0.0000 0.0000 0.3358
Re2 0.0000 0.0000 0.5000
Re3 0.0047 0.5024 0.9172
```

Number 1: total moment 0.0 Bohr magnetons per cell, DFT total energy -9.58 eV per atom. Number 2: total moment 0.0 Bohr magnetons per cell, DFT total energy -9.56 eV per atom. Number 3: total moment 0.0 Bohr magnetons per cell, DFT total energy -10.01 eV per atom. Number 4: total moment 0.0 Bohr magnetons per cell, DFT total energy -7.81 eV per atom. Number 5: total moment 0.0 Bohr magnetons per cell, DFT total energy -9.68 eV per atom. Number 6: total moment 0.0 Bohr magnetons per cell, DFT total energy -9.51 eV per atom. Number 7: total moment 0.0 Bohr magnetons per cell, DFT total energy -10.32 eV per atom. Number 8: total moment 0.0 Bohr magnetons per cell, DFT total energy -9.67 eV per atom. Number 9: total moment 4.7 Bohr magnetons per cell, DFT total energy -9.83 eV per atom. Number 10: total moment 0.0 Bohr magnetons per cell, DFT total energy -8.55 eV per atom. Number 11: total moment 0.0 Bohr magnetons per cell, DFT total energy -10.57 eV per atom. Number 12: total moment 0.0 Bohr magnetons per cell, DFT total energy -10.92 eV per atom.